[1]
Here is an optimized crystal structure of CrFePdRh from Alexandria. Energies are from PBE-GGA.

The structure in POSCAR format:
```
CrFePdRh
1.0
0.000 3.055 3.055
3.055 0.000 3.055
3.055 3.055 0.000
Cr Fe Pd Rh
1 1 1 1
Cartesian
0.000 0.000 0.000
3.055 3.055 3.055
1.528 1.528 1.528
4.583 4.583 4.583
```

Results
As for the formation energy: 0.47 eV per formula unit. As for the crystal system: cubic.

***

[2]
Here is an optimized crystal structure of La7Nd4Y from Alexandria. Energies are from PBE-GGA.

The structure in POSCAR format:
```
La7Nd4Y
1.0
8.349 -3.087 0.000
8.349 3.087 0.000
-4.238 0.000 8.539
La Nd Y
7 4 1
Cartesian
0.000 0.000 0.000
1.566 0.000 6.669
4.357 0.000 1.070
4.581 0.000 4.834
7.878 0.000 3.705
8.102 0.000 7.469
10.893 0.000 1.870
-1.740 0.000 5.989
1.200 0.000 3.364
11.259 0.000 5.175
14.199 0.000 2.550
8.349 0.000 0.000
```

Results
The value obtained for the excess energy over the best structure of this formula in the dataset is 0.182 eV/atom. As for the formation energy: 2.36 eV per formula unit. As for the crystal system: monoclinic.

***

[3]
Here is an optimized crystal structure of Dy3Y2Ho from Alexandria. Energies are from PBE-GGA.

The structure in POSCAR format:
```
Dy3Y2Ho
1.0
7.162 0.000 0.000
-3.577 6.205 0.000
-1.787 -1.035 8.556
Dy Y Ho
6 4 2
Cartesian
6.268 1.545 0.009
-4.469 3.625 8.546
-2.681 4.658 5.707
0.898 0.513 2.850
0.900 4.658 5.706
4.479 0.513 2.849
-0.892 1.547 5.702
-0.890 3.623 2.856
2.688 1.547 5.699
2.691 3.623 2.854
2.687 1.545 0.008
-0.888 3.625 8.548
```

Results
The value obtained for the excess energy over the best structure of this formula in the dataset is 0.000 eV/atom. As for the formation energy: 0.01 eV per formula unit. As for the crystal system: triclinic.

***

[4]
Here is an optimized crystal structure of AcEu2Ga from Alexandria. Energies are from PBE-GGA.

The structure in POSCAR format:
```
AcEu2Ga
1.0
4.975 0.000 0.000
0.000 4.975 0.000
0.000 0.000 5.358
Ac Eu Ga
1 2 1
Cartesian
0.000 0.000 0.000
0.000 2.488 2.679
2.488 0.000 2.679
2.488 2.488 0.000
```

Results
The value obtained for the excess energy over the best structure of this formula in the dataset is 0.076 eV/atom. As for the formation energy: -0.54 eV per formula unit. As for the crystal system: tetragonal.

***

[5]
Here is an optimized crystal structure of PSe3 from Alexandria. Energies are from PBE-GGA.

The structure in POSCAR format:
```
PSe3
1.0
2.775 -3.888 0.000
2.775 3.888 0.000
0.000 0.000 3.672
P Se
1 3
Cartesian
0.000 0.000 0.000
1.388 1.944 1.836
1.388 -1.944 1.836
2.775 0.000 0.000
```

Results
For the raw formation energy, the calculation gives 0.77 eV per atom. The value obtained for the excess energy over the best structure of this formula in the dataset is 0.547 eV/atom. As for the crystal system: orthorhombic.

***

[6]
Here is an optimized crystal structure of Rb3NiN from Alexandria. Energies are from PBE-GGA.

The structure in POSCAR format:
```
Rb3NiN
1.0
5.703 0.000 0.000
0.000 5.703 0.000
0.000 0.000 5.703
Rb Ni N
3 1 1
Cartesian
0.000 0.000 2.851
0.000 2.851 0.000
2.851 0.000 0.000
2.851 2.851 2.851
0.000 0.000 0.000
```

Results
For the raw formation energy, the calculation gives 0.94 eV per atom. The value obtained for the excess energy over the best structure of this formula in the dataset is 0.000 eV/atom. As for the crystal system: cubic.

***

[7]
Here is an optimized crystal structure of PuThCd14 from Alexandria. Energies are from PBE-GGA.

The structure in POSCAR format:
```
PuThCd14
1.0
6.755 0.000 0.000
0.000 6.755 0.000
0.000 0.000 8.381
Pu Th Cd
1 1 14
Cartesian
0.000 0.000 0.000
3.377 3.377 0.000
0.000 0.000 4.191
0.000 3.377 0.000
0.000 3.377 4.191
1.672 1.672 2.212
1.672 1.672 6.169
1.672 5.082 2.212
1.672 5.082 6.169
3.377 0.000 0.000
3.377 0.000 4.191
3.377 3.377 4.191
5.082 1.672 2.212
5.082 1.672 6.169
5.082 5.082 2.212
5.082 5.082 6.169
```

Results
As for the formation energy: -0.60 eV per formula unit. As for the crystal system: tetragonal.

***

[8]
Here is an optimized crystal structure of Pr3Ho8Tm4 from Alexandria. Energies are from PBE-GGA.

The structure in POSCAR format:
```
Pr3Ho8Tm4
1.0
6.686 -6.404 0.000
6.686 6.404 0.000
-3.364 0.000 5.807
Pr Ho Tm
3 8 4
Cartesian
0.000 0.000 0.000
1.661 3.202 2.904
1.661 -3.202 2.904
5.004 4.603 2.904
1.378 0.000 2.950
-0.101 0.000 5.802
6.686 3.213 0.000
6.686 -3.213 0.000
10.108 0.000 0.006
8.629 0.000 2.857
5.004 -4.603 2.904
3.343 3.202 0.000
3.343 -3.202 0.000
6.686 0.000 0.000
5.004 0.000 2.904
```

Results
As for the formation energy: 6.04 eV per formula unit. As for the crystal system: monoclinic.

***

[9]
Here is an optimized crystal structure of BaPa2CuS5 from Alexandria. Energies are from PBE-GGA.

The structure in POSCAR format:
```
BaPa2CuS5
1.0
-3.809 3.809 6.856
3.809 -3.809 6.856
3.809 3.809 -6.856
Ba Pa Cu S
2 4 2 10
Cartesian
0.000 0.000 3.428
0.000 0.000 10.284
5.005 1.196 0.000
1.196 2.613 0.000
2.613 1.196 6.856
-1.196 2.613 6.856
3.809 0.000 3.428
0.000 3.809 3.428
0.000 0.000 0.000
2.674 1.135 -1.780
2.674 -1.135 5.076
2.674 1.135 1.780
2.674 -1.135 8.635
0.000 0.000 6.856
1.135 4.944 -1.780
1.135 2.674 5.076
1.135 4.944 1.780
1.135 2.674 8.635
```

Results
For the raw formation energy, the calculation gives -1.53 eV per atom. As for the crystal system: tetragonal.

***

[10]
Here is an optimized crystal structure of Rb2AsPdBr6 from Alexandria. Energies are from PBE-GGA.

The structure in POSCAR format:
```
Rb2AsPdBr6
1.0
-3.811 3.811 5.360
3.811 -3.811 5.360
3.811 3.811 -5.360
Rb As Pd Br
2 1 1 6
Cartesian
3.811 0.000 2.680
0.000 3.811 2.680
0.000 0.000 0.000
0.000 0.000 5.360
0.000 0.000 2.692
1.910 1.910 0.000
1.900 -1.900 5.360
-1.900 1.900 5.360
0.000 0.000 8.028
1.900 1.900 5.360
```

Results
For the raw formation energy, the calculation gives -0.89 eV per atom. As for the crystal system: tetragonal.

***

[11]
Here is an optimized crystal structure of PmIn8Rh2 from Alexandria. Energies are from PBE-GGA.

The structure in POSCAR format:
```
PmIn8Rh2
1.0
4.420 -5.880 0.000
4.420 5.880 0.000
-1.028 0.000 5.093
Pm In Rh
1 8 2
Cartesian
0.000 0.000 0.000
1.247 1.510 3.081
4.420 2.679 0.000
1.247 -1.510 3.081
3.183 0.000 1.097
4.629 0.000 3.996
6.565 1.510 2.012
4.420 -2.679 0.000
6.565 -1.510 2.012
3.906 2.339 2.547
3.906 -2.339 2.547
```

Results
As for the formation energy: -2.73 eV per formula unit. As for the crystal system: monoclinic.

***

[12]
Here is an optimized crystal structure of La8Co2Hg from Alexandria. Energies are from PBE-GGA.

The structure in POSCAR format:
```
La8Co2Hg
1.0
7.503 -3.553 0.000
7.503 3.553 0.000
-0.761 0.000 6.454
La Co Hg
8 2 1
Cartesian
0.948 0.000 2.075
5.456 1.692 0.772
3.972 0.000 3.972
8.790 1.692 5.682
5.456 -1.692 0.772
10.273 0.000 2.482
8.790 -1.692 5.682
13.297 0.000 4.379
3.284 0.000 1.110
10.962 0.000 5.344
7.123 0.000 3.227
```

Results
The value obtained for the excess energy over the best structure of this formula in the dataset is 0.000 eV/atom. As for the formation energy: -1.44 eV per formula unit. As for the crystal system: monoclinic.

***

[13]
Here is an optimized crystal structure of LiUTiSe3 from Alexandria. Energies are from PBE-GGA.

The structure in POSCAR format:
```
LiUTiSe3
1.0
7.501 0.000 0.000
0.000 3.840 0.000
-2.962 0.000 8.711
Li U Ti Se
2 2 2 6
Cartesian
0.807 0.960 0.846
3.732 2.880 7.865
-0.025 2.880 6.711
4.564 0.960 2.001
1.603 2.880 3.431
2.936 0.960 5.281
-2.228 0.960 6.961
0.424 0.960 4.576
2.641 2.880 1.009
1.898 0.960 7.703
4.115 2.880 4.136
6.767 2.880 1.751
```

Results
For the raw formation energy, the calculation gives -1.09 eV per atom. As for the crystal system: monoclinic.

***

[14]
Here is an optimized crystal structure of Nd7SmHo4 from Alexandria. Energies are from PBE-GGA.

The structure in POSCAR format:
```
Nd7SmHo4
1.0
8.099 -3.010 0.000
8.099 3.010 0.000
-4.257 0.000 8.460
Nd Sm Ho
7 1 4
Cartesian
0.000 0.000 0.000
4.148 0.000 0.979
1.411 0.000 6.441
4.369 0.000 4.653
7.573 0.000 3.808
10.530 0.000 2.020
7.793 0.000 7.482
8.099 0.000 0.000
-1.826 0.000 5.908
1.122 0.000 3.235
10.819 0.000 5.225
13.768 0.000 2.552
```

Results
The value obtained for the excess energy over the best structure of this formula in the dataset is 0.203 eV/atom. As for the formation energy: 2.48 eV per formula unit. As for the crystal system: monoclinic.

***

[15]
Here is an optimized crystal structure of TeRh2Se from Alexandria. Energies are from PBE-GGA.

The structure in POSCAR format:
```
TeRh2Se
1.0
-1.655 2.271 4.799
1.655 -2.271 4.799
1.655 2.271 -4.799
Te Rh Se
1 2 1
Cartesian
0.000 0.000 0.000
0.000 0.000 4.605
0.000 2.271 2.608
1.655 0.000 2.651
```

Results
For the raw formation energy, the calculation gives 0.07 eV per atom. The value obtained for the excess energy over the best structure of this formula in the dataset is 0.354 eV/atom. As for the crystal system: orthorhombic.

***

[16]
Here is an optimized crystal structure of LiMoRu3 from Alexandria. Energies are from PBE-GGA.

The structure in POSCAR format:
```
LiMoRu3
1.0
4.075 0.000 0.000
0.000 4.075 0.000
0.000 0.000 4.075
Li Mo Ru
1 1 3
Cartesian
0.000 0.000 0.000
2.037 2.037 2.037
0.000 0.000 2.037
0.000 2.037 0.000
2.037 0.000 0.000
```

Results
The value obtained for the excess energy over the best structure of this formula in the dataset is 0.000 eV/atom. As for the formation energy: 4.16 eV per formula unit. As for the crystal system: cubic.

***

[17]
Here is an optimized crystal structure of KCoAs2 from Alexandria. Energies are from PBE-GGA.

The structure in POSCAR format:
```
KCoAs2
1.0
3.074 -4.698 0.000
3.074 4.698 0.000
0.000 0.000 2.765
K Co As
1 1 2
Cartesian
0.000 0.000 0.000
3.074 0.000 0.000
1.537 2.349 1.383
1.537 -2.349 1.383
```

Results
The value obtained for the excess energy over the best structure of this formula in the dataset is 0.766 eV/atom. As for the formation energy: 2.10 eV per formula unit. As for the crystal system: orthorhombic.

***

[18]
Here is an optimized crystal structure of La6PrHg5 from Alexandria. Energies are from PBE-GGA.

The structure in POSCAR format:
```
La6PrHg5
1.0
5.549 0.000 0.000
0.000 7.826 0.000
-2.756 0.000 8.476
La Pr Hg
6 1 5
Cartesian
0.000 1.773 0.000
0.000 6.053 0.000
0.007 1.964 5.519
0.007 5.862 5.519
2.786 1.964 2.957
2.786 5.862 2.957
2.775 3.913 0.000
0.011 3.913 2.573
0.014 0.000 2.830
2.775 0.000 0.000
2.779 0.000 5.646
2.782 3.913 5.903
```

Results
As for the formation energy: -4.50 eV per formula unit. As for the crystal system: monoclinic.

***

[19]
Here is an optimized crystal structure of Tl12H5Au3 from Alexandria. Energies are from PBE-GGA.

The structure in POSCAR format:
```
Tl12H5Au3
1.0
-7.789 7.789 7.789
7.789 -7.789 7.789
7.789 7.789 -7.789
Tl H Au
48 20 12
Cartesian
2.318 -0.552 0.896
9.366 4.791 -4.447
7.237 -0.896 2.318
12.236 -1.577 2.999
10.108 0.552 0.896
9.366 -2.999 4.447
0.896 2.318 -0.552
10.788 3.342 -1.577
4.791 4.447 -1.577
6.893 2.318 0.552
-0.552 0.896 2.318
4.447 -1.577 4.791
7.237 6.893 -2.318
4.447 1.577 2.999
6.893 -2.318 7.237
4.791 -4.447 9.366
2.999 4.447 1.577
8.685 5.471 0.552
2.318 7.237 -0.896
9.366 2.999 3.342
4.447 9.366 -2.999
7.237 0.896 5.471
1.577 2.999 4.447
2.318 0.552 6.893
5.471 7.237 0.896
6.213 4.791 3.342
0.552 6.893 2.318
3.342 -1.577 10.788
-1.577 4.791 4.447
5.471 0.552 8.685
-0.896 2.318 7.237
4.791 3.342 6.213
2.999 12.236 -1.577
0.896 10.108 0.552
3.342 6.213 4.791
0.552 0.896 10.108
3.342 9.366 2.999
8.342 6.893 5.471
0.896 5.471 7.237
2.999 3.342 9.366
-2.999 4.447 9.366
6.893 5.471 8.342
-1.577 10.788 3.342
-2.318 7.237 6.893
-4.447 9.366 4.791
0.552 8.685 5.471
-1.577 2.999 12.236
5.471 8.342 6.893
0.000 0.000 0.000
3.895 3.895 -3.895
3.895 -3.895 3.895
7.789 0.000 0.000
11.684 1.947 0.000
7.789 -3.895 5.842
5.842 7.789 -3.895
5.842 0.000 3.895
3.895 5.842 0.000
7.789 3.895 1.947
-3.895 3.895 3.895
0.000 7.789 0.000
0.000 0.000 7.789
3.895 3.895 3.895
0.000 3.895 5.842
3.895 1.947 7.789
1.947 7.789 3.895
1.947 0.000 11.684
0.000 11.684 1.947
-3.895 5.842 7.789
3.895 1.947 0.000
7.789 3.895 -1.947
1.947 0.000 3.895
9.737 0.000 3.895
0.000 3.895 1.947
3.895 -1.947 7.789
3.895 9.737 0.000
7.789 3.895 5.842
-1.947 7.789 3.895
5.842 7.789 3.895
0.000 3.895 9.737
3.895 5.842 7.789
```

Results
As for the total energy: -2.545 eV per atom. As for the crystal system: cubic.

***

[20]
Here is an optimized crystal structure of InTe2P from Alexandria. Energies are from PBE-GGA.

The structure in POSCAR format:
```
InTe2P
1.0
5.397 0.000 0.000
0.000 4.123 0.000
-1.929 0.000 5.053
In Te P
1 2 1
Cartesian
0.000 0.000 0.000
0.149 2.062 3.621
3.318 2.062 1.432
1.734 0.000 2.526
```

Results
For the raw formation energy, the calculation gives 0.09 eV per atom. The value obtained for the excess energy over the best structure of this formula in the dataset is 0.069 eV/atom. As for the crystal system: monoclinic.

***

For reference, theoretical density by record: 9.2, 6.2, 7.3, 7.5, 5.6, 2.9, 8.9, 8.1, 6.9, 4.4, 8.0, 6.9, 7.0, 7.3, 9.5, 10.0, 5.2, 8.9, 10.7, 5.9 g/cm3.